First-principles (PBE) data for a relaxed structure of K2PuCuO4, as listed in Alexandria.

Cell: 3.7472 5.7938 6.3964 Å, 92.69 90.00 90.00°
Last column: magnetic moment on the atom in μB.
Atoms (fractional coordinates):
Pu: 0.5000 0.5000 0.0000  3.42
O: 0.0000 0.7232 0.1327  -0.06
Cu: 0.0000 0.0000 0.0000  -0.06
O: 0.5000 0.6560 0.7423  -0.12
O: 0.0000 0.2768 0.8673  -0.06
K: 0.5000 0.0000 0.5000  0.00
K: 0.0000 0.5000 0.5000  0.00
O: 0.5000 0.3440 0.2577  -0.12

Final energy ... -6.95 eV per atom
Spin magnetization ... 0.3750 μB/atom
Energy relative to the elements, uncorrected ... -1.888 eV per atom
Crystal system ... monoclinic
V ... 138.71 Å³ per cell

---

First-principles (PBE) data for a relaxed structure of K3PuCu2O8, as listed in Alexandria.

Cell: 5.8397 5.8397 7.7700 Å, 90.00 90.00 120.00°
Last column: magnetic moment on the atom in μB.
Atoms (fractional coordinates):
O: 0.6667 0.3333 0.9941  0.73
O: 0.1621 0.8379 0.3480  0.17
O: 0.3333 0.6667 0.0059  0.73
O: 0.3243 0.1621 0.6520  0.17
Cu: 0.6667 0.3333 0.7680  0.72
O: 0.8379 0.1621 0.6520  0.17
O: 0.1621 0.3243 0.3480  0.17
K: 0.6667 0.3333 0.3329  0.00
Pu: 0.0000 0.0000 0.5000  -1.33
Cu: 0.3333 0.6667 0.2320  0.72
K: 0.3333 0.6667 0.6671  0.00
O: 0.6757 0.8379 0.3480  0.17
K: 0.0000 0.0000 0.0000  0.00
O: 0.8379 0.6757 0.6520  0.17

Final energy ... -6.03 eV per atom
Spin magnetization ... 0.2175 μB/atom
Energy relative to the elements, uncorrected ... -1.355 eV per atom
Crystal system ... trigonal
V ... 229.47 Å³ per cell

---

First-principles (PBE) data for a relaxed structure of KPuCu2O6, as listed in Alexandria.

Cell: 6.6435 7.2093 7.2093 Å, 86.77 77.02 77.02°
Last column: magnetic moment on the atom in μB.
Atoms (fractional coordinates):
Cu: 0.1197 0.3727 0.2378  0.56
Cu: 0.8803 0.6273 0.7622  0.56
O: 0.5526 0.2627 0.6544  0.17
O: 0.2489 0.2710 0.9909  0.19
O: 0.0526 0.6544 0.2627  0.17
O: 0.2511 0.0091 0.7290  0.19
O: 0.7511 0.7290 0.0091  0.19
O: 0.3117 0.2795 0.3996  0.27
Pu: 0.7500 0.7074 0.2926  -1.58
O: 0.1883 0.6004 0.7205  0.27
Pu: 0.2500 0.2926 0.7074  -1.58
O: 0.6883 0.7205 0.6004  0.27
O: 0.7489 0.9909 0.2710  0.19
K: 0.7500 0.0939 0.9061  0.00
Cu: 0.3803 0.7622 0.6273  0.56
Cu: 0.6197 0.2378 0.3727  0.56
O: 0.4474 0.7373 0.3456  0.17
O: 0.8117 0.3996 0.2795  0.27
O: 0.9474 0.3456 0.7373  0.17
K: 0.2500 0.9061 0.0939  0.00

Final energy ... -6.78 eV per atom
Spin magnetization ... 0.0977 μB/atom
Energy relative to the elements, uncorrected ... -1.444 eV per atom
Crystal system ... monoclinic
V ... 327.88 Å³ per cell

---

First-principles (PBE) data for a relaxed structure of KRbCuO2, as listed in Alexandria.

Cell: 4.4649 8.7624 7.9145 Å, 123.61 90.00 90.00°
Last column: magnetic moment on the atom in μB.
Atoms (fractional coordinates):
K: 0.5000 0.7500 0.0000  0.00
O: 0.7591 0.6040 0.2081  0.27
K: 0.5000 0.2500 0.0000  0.00
Rb: 0.2680 0.7500 0.5000  0.00
O: 0.7591 0.8960 0.7919  0.27
Cu: 0.0000 0.5000 0.0000  0.36
Rb: 0.7320 0.2500 0.5000  0.00
O: 0.2409 0.1040 0.2081  0.27
O: 0.2409 0.3960 0.7919  0.27
Cu: 0.0000 0.0000 0.0000  0.36

Final energy ... -4.13 eV per atom
Spin magnetization ... 0.2003 μB/atom
Energy relative to the elements, uncorrected ... -0.916 eV per atom
Crystal system ... orthorhombic
V ... 257.87 Å³ per cell

---

- What is the final energy in the second record?
  -6.03 eV per atom

---

- Number 3 is which compound?
  KPuCu2O6

---

Repeat the fourth record exactly.
First-principles (PBE) data for a relaxed structure of KRbCuO2, as listed in Alexandria.

Cell: 4.4649 8.7624 7.9145 Å, 123.61 90.00 90.00°
Last column: magnetic moment on the atom in μB.
Atoms (fractional coordinates):
K: 0.5000 0.7500 0.0000  0.00
O: 0.7591 0.6040 0.2081  0.27
K: 0.5000 0.2500 0.0000  0.00
Rb: 0.2680 0.7500 0.5000  0.00
O: 0.7591 0.8960 0.7919  0.27
Cu: 0.0000 0.5000 0.0000  0.36
Rb: 0.7320 0.2500 0.5000  0.00
O: 0.2409 0.1040 0.2081  0.27
O: 0.2409 0.3960 0.7919  0.27
Cu: 0.0000 0.0000 0.0000  0.36

Final energy ... -4.13 eV per atom
Spin magnetization ... 0.2003 μB/atom
Energy relative to the elements, uncorrected ... -0.916 eV per atom
Crystal system ... orthorhombic
V ... 257.87 Å³ per cell